Density functional theory data (PBE-GGA) for a geometry-optimized Cu3PdRh structure.

Geometry as CIF:
```
data_Cu3PdRh
_chemical_formula_sum 'Cu6 Pd2 Rh2'
_symmetry_space_group_name_H-M 'P 1'
_symmetry_Int_Tables_number 1
_symmetry_space_group_name_Hall 'P 1'
_cell_length_a 2.715
_cell_length_b 7.063
_cell_length_c 7.298
_cell_angle_alpha 105.14
_cell_angle_beta 90.02
_cell_angle_gamma 100.96
loop_
_atom_site_label
_atom_site_type_symbol
_atom_site_fract_x
_atom_site_fract_y
_atom_site_fract_z
Cu1 Cu 0.000 0.000 0.000
Cu2 Cu 0.000 0.000 0.497
Cu3 Cu 0.202 0.401 0.610
Cu4 Cu 0.400 0.800 0.194
Cu5 Cu 0.596 0.192 0.786
Cu6 Cu 0.805 0.609 0.895
Pd1 Pd 0.202 0.400 0.079
Pd2 Pd 0.600 0.197 0.304
Rh1 Rh 0.402 0.804 0.700
Rh2 Rh 0.804 0.605 0.404
```

Results
Energy relative to the elements (eV/atom): -0.01
Relative energy among the computed polymorphs (meV per atom): 0

=====

Density functional theory data (PBE-GGA) for a geometry-optimized Sc2CdTcIr structure.

Geometry as CIF:
```
data_Sc2CdTcIr
_chemical_formula_sum 'Sc2 Cd1 Tc1 Ir1'
_symmetry_space_group_name_H-M 'P 4/m m m'
_symmetry_Int_Tables_number 123
_symmetry_space_group_name_Hall '-P 4 2'
_cell_length_a 4.719
_cell_length_b 4.719
_cell_length_c 5.061
_cell_angle_alpha 90.00
_cell_angle_beta 90.00
_cell_angle_gamma 90.00
loop_
_atom_site_label
_atom_site_type_symbol
_atom_site_fract_x
_atom_site_fract_y
_atom_site_fract_z
Sc1 Sc 0.000 0.500 0.000
Cd1 Cd 0.000 0.000 0.500
Tc1 Tc 0.000 0.000 0.000
Ir1 Ir 0.500 0.500 0.500
```

Results
Energy relative to the elements (eV/atom): 0.77

=====

Density functional theory data (PBE-GGA) for a geometry-optimized PmDy2ScSe4 structure.

Geometry as CIF:
```
data_PmDy2ScSe4
_chemical_formula_sum 'Pm1 Dy2 Sc1 Se4'
_symmetry_space_group_name_H-M 'P 1 2/m 1'
_symmetry_Int_Tables_number 10
_symmetry_space_group_name_Hall '-P 2y'
_cell_length_a 7.018
_cell_length_b 4.020
_cell_length_c 7.118
_cell_angle_alpha 90.00
_cell_angle_beta 108.93
_cell_angle_gamma 90.00
loop_
_atom_site_label
_atom_site_type_symbol
_atom_site_fract_x
_atom_site_fract_y
_atom_site_fract_z
Pm1 Pm 0.000 0.000 0.000
Dy1 Dy 0.500 0.000 0.500
Dy2 Dy 0.500 0.500 0.000
Sc1 Sc 0.000 0.500 0.500
Se1 Se 0.244 0.000 0.737
Se2 Se 0.252 0.500 0.262
```

Results
Formation energy without anion corrections (eV per atom): -1.709

=====

Density functional theory data (PBE-GGA) for a geometry-optimized ZrSi2Br structure.

Geometry as CIF:
```
data_ZrSi2Br
_chemical_formula_sum 'Zr3 Si6 Br3'
_symmetry_space_group_name_H-M 'R -3 m'
_symmetry_Int_Tables_number 166
_symmetry_space_group_name_Hall '-R 3 2"'
_cell_length_a 3.2881
_cell_length_b 3.2881
_cell_length_c 25.1393
_cell_angle_alpha 90.00
_cell_angle_beta 90.00
_cell_angle_gamma 120.00
loop_
_atom_site_label
_atom_site_type_symbol
_atom_site_fract_x
_atom_site_fract_y
_atom_site_fract_z
Zr1 Zr 0.0000 0.0000 0.0000
Si1 Si 0.0000 0.0000 0.2523
Br1 Br 0.0000 0.0000 0.5000
```

Results
Formation energy without anion corrections (eV per atom): 0.220
Relative energy among the computed polymorphs (meV per atom): 598

=====

Number 1: mass density 10.03 g/cm³. Number 2: mass density 7.26 g/cm³. Number 3: mass density 7.26 g/cm³. Number 4: mass density 4.81 g/cm³.